Run one
{"formula": "BeFe3Pd", "functional": "PBE", "state": "relaxed", "cell": [[4.5970, 0.0000, 0.0000], [0.0000, 4.5970, 0.0000], [0.0000, 0.0000, 4.5970]], "species": ["Be", "Fe", "Fe", "Fe", "Pd"], "fractional_positions": [[0.0000, 0.0000, 0.0000], [0.0000, 0.5000, 0.5000], [0.5000, 0.0000, 0.5000], [0.5000, 0.5000, 0.0000], [0.5000, 0.5000, 0.5000]]}



Run two
{"formula": "BeFe3Pd", "functional": "PBE", "state": "relaxed", "cell": [[3.8469, 0.0000, 0.0000], [0.0000, 3.8469, 0.0000], [0.0000, 0.0000, 3.8469]], "species": ["Be", "Fe", "Fe", "Fe", "Pd"], "fractional_positions": [[0.0000, 0.0000, 0.0000], [0.0000, 0.0000, 0.5000], [0.0000, 0.5000, 0.0000], [0.5000, 0.0000, 0.0000], [0.5000, 0.5000, 0.5000]]}



Which structure is most stable? run two, by 77.3 kJ/mol of atoms over the runner-up.